[1]
DFT (PBE-GGA) results for Na5B6C4 after structural relaxation.

a b c (Å): 7.603 7.603 8.975
angles (deg): 107.67 107.67 37.73
Positions (direct):
Na (0.050, 0.050, 0.248)
Na (0.151, 0.151, 0.752)
Na (0.249, 0.250, 0.247)
Na (0.350, 0.351, 0.753)
Na (0.450, 0.449, 0.247)
Na (0.551, 0.550, 0.753)
Na (0.649, 0.650, 0.247)
Na (0.750, 0.751, 0.753)
Na (0.849, 0.849, 0.248)
Na (0.950, 0.950, 0.752)
B (0.021, 0.381, 0.500)
B (0.134, 0.466, 0.001)
B (0.163, 0.837, 0.500)
B (0.334, 0.666, 0.000)
B (0.384, 0.001, 0.500)
B (0.534, 0.866, 0.999)
B (0.570, 0.241, 0.500)
B (0.619, 0.979, 0.500)
B (0.734, 0.066, 0.001)
B (0.759, 0.430, 0.500)
B (0.934, 0.266, 0.999)
B (0.999, 0.616, 0.500)
C (0.068, 0.733, 0.002)
C (0.233, 0.576, 0.500)
C (0.267, 0.932, 0.998)
C (0.424, 0.767, 0.500)
C (0.468, 0.133, 0.001)
C (0.668, 0.332, 0.000)
C (0.829, 0.171, 0.500)
C (0.867, 0.532, 0.999)

Its relative energy among the computed polymorphs is 20 meV/atom. The density of states at the Fermi level is 1.7 states/eV/cell. As for the space group: No. 5. The total energy is -5.499 eV/atom.

---

[2]
DFT (PBE-GGA) results for Na2B3C after structural relaxation.

a b c (Å): 2.915 2.915 34.289
angles (deg): 90.00 90.00 120.00
Positions (direct):
Na (0.000, 0.000, 0.063)
Na (0.000, 0.000, 0.186)
Na (0.000, 0.000, 0.309)
Na (0.000, 0.000, 0.436)
Na (0.000, 0.000, 0.564)
Na (0.000, 0.000, 0.691)
Na (0.000, 0.000, 0.814)
Na (0.000, 0.000, 0.937)
B (0.333, 0.667, 0.000)
B (0.333, 0.667, 0.248)
B (0.333, 0.667, 0.373)
B (0.333, 0.667, 0.500)
B (0.333, 0.667, 0.627)
B (0.333, 0.667, 0.752)
B (0.667, 0.333, 0.000)
B (0.667, 0.333, 0.125)
B (0.667, 0.333, 0.373)
B (0.667, 0.333, 0.500)
B (0.667, 0.333, 0.627)
B (0.667, 0.333, 0.875)
C (0.333, 0.667, 0.125)
C (0.333, 0.667, 0.875)
C (0.667, 0.333, 0.248)
C (0.667, 0.333, 0.752)

Its relative energy among the computed polymorphs is 57 meV/atom. The density of states at the Fermi level is 7.1 states/eV/cell. As for the space group: No. 187. The total energy is -5.125 eV/atom.

---

[3]
DFT (PBE-GGA) results for Na2B3C after structural relaxation.

a b c (Å): 2.786 8.656 10.510
angles (deg): 90.00 90.00 90.00
Positions (direct):
Na (0.000, 0.248, 0.000)
Na (0.000, 0.251, 0.504)
Na (0.000, 0.749, 0.504)
Na (0.000, 0.752, 0.000)
Na (0.500, 0.251, 0.252)
Na (0.500, 0.251, 0.754)
Na (0.500, 0.749, 0.252)
Na (0.500, 0.749, 0.754)
B (0.000, 0.000, 0.176)
B (0.000, 0.000, 0.339)
B (0.000, 0.000, 0.672)
B (0.000, 0.500, 0.178)
B (0.000, 0.500, 0.343)
B (0.000, 0.500, 0.678)
B (0.000, 0.500, 0.843)
B (0.500, 0.000, 0.067)
B (0.500, 0.000, 0.446)
B (0.500, 0.000, 0.902)
B (0.500, 0.500, 0.071)
B (0.500, 0.500, 0.571)
C (0.000, 0.000, 0.825)
C (0.500, 0.000, 0.593)
C (0.500, 0.500, 0.422)
C (0.500, 0.500, 0.922)

Its relative energy among the computed polymorphs is 5 meV/atom. The density of states at the Fermi level is 2.5 states/eV/cell. As for the space group: No. 25. The total energy is -5.178 eV/atom.

---

[4]
DFT (PBE-GGA) results for Na5B8C2 after structural relaxation.

a b c (Å): 2.936 2.936 43.021
angles (deg): 90.00 90.00 120.00
Positions (direct):
Na (0.000, 0.000, 0.049)
Na (0.000, 0.000, 0.150)
Na (0.000, 0.000, 0.249)
Na (0.000, 0.000, 0.350)
Na (0.000, 0.000, 0.451)
Na (0.000, 0.000, 0.549)
Na (0.000, 0.000, 0.650)
Na (0.000, 0.000, 0.751)
Na (0.000, 0.000, 0.850)
Na (0.000, 0.000, 0.951)
B (0.333, 0.667, 0.000)
B (0.333, 0.667, 0.100)
B (0.333, 0.667, 0.200)
B (0.333, 0.667, 0.299)
B (0.333, 0.667, 0.401)
B (0.333, 0.667, 0.599)
B (0.333, 0.667, 0.701)
B (0.333, 0.667, 0.800)
B (0.333, 0.667, 0.900)
B (0.667, 0.333, 0.100)
B (0.667, 0.333, 0.299)
B (0.667, 0.333, 0.401)
B (0.667, 0.333, 0.500)
B (0.667, 0.333, 0.599)
B (0.667, 0.333, 0.701)
B (0.667, 0.333, 0.900)
C (0.333, 0.667, 0.500)
C (0.667, 0.333, 0.000)
C (0.667, 0.333, 0.200)
C (0.667, 0.333, 0.800)

Its relative energy among the computed polymorphs is 53 meV/atom. The density of states at the Fermi level is 11.4 states/eV/cell. As for the space group: No. 187. The total energy is -5.007 eV/atom.

---

[5]
DFT (PBE-GGA) results for Na5B8C2 after structural relaxation.

a b c (Å): 5.282 8.667 7.525
angles (deg): 90.00 110.51 90.00
Positions (direct):
Na (0.000, 0.000, 0.000)
Na (0.000, 0.500, 0.000)
Na (0.204, 0.003, 0.400)
Na (0.204, 0.497, 0.400)
Na (0.402, 0.504, 0.800)
Na (0.402, 0.996, 0.800)
Na (0.598, 0.004, 0.200)
Na (0.598, 0.496, 0.200)
Na (0.796, 0.503, 0.600)
Na (0.796, 0.997, 0.600)
B (0.026, 0.250, 0.790)
B (0.050, 0.750, 0.790)
B (0.153, 0.250, 0.603)
B (0.163, 0.750, 0.590)
B (0.274, 0.250, 0.207)
B (0.332, 0.750, 0.008)
B (0.340, 0.250, 0.988)
B (0.480, 0.250, 0.601)
B (0.520, 0.750, 0.399)
B (0.660, 0.750, 0.012)
B (0.668, 0.250, 0.992)
B (0.726, 0.750, 0.793)
B (0.837, 0.250, 0.410)
B (0.847, 0.750, 0.397)
B (0.950, 0.250, 0.210)
B (0.974, 0.750, 0.210)
C (0.265, 0.750, 0.204)
C (0.460, 0.750, 0.596)
C (0.540, 0.250, 0.404)
C (0.735, 0.250, 0.796)

Its relative energy among the computed polymorphs is 20 meV/atom. The density of states at the Fermi level is 7.3 states/eV/cell. As for the space group: No. 11. The total energy is -5.041 eV/atom.

---

[6]
DFT (PBE-GGA) results for Na2B3C after structural relaxation.

a b c (Å): 9.055 9.055 13.387
angles (deg): 112.97 112.97 18.30
Positions (direct):
Na (0.000, 0.000, 0.000)
Na (0.000, 0.000, 0.495)
Na (0.200, 0.200, 0.395)
Na (0.204, 0.204, 0.896)
Na (0.399, 0.399, 0.799)
Na (0.401, 0.401, 0.297)
Na (0.600, 0.600, 0.695)
Na (0.601, 0.601, 0.198)
Na (0.799, 0.799, 0.595)
Na (0.802, 0.802, 0.098)
B (0.034, 0.034, 0.816)
B (0.035, 0.035, 0.314)
B (0.164, 0.164, 0.075)
B (0.227, 0.227, 0.699)
B (0.232, 0.232, 0.210)
B (0.365, 0.365, 0.476)
B (0.431, 0.431, 0.608)
B (0.438, 0.438, 0.120)
B (0.574, 0.574, 0.896)
B (0.631, 0.631, 0.507)
B (0.766, 0.766, 0.276)
B (0.767, 0.767, 0.781)
B (0.834, 0.834, 0.413)
B (0.840, 0.840, 0.926)
B (0.970, 0.970, 0.687)
C (0.163, 0.163, 0.572)
C (0.372, 0.372, 0.990)
C (0.567, 0.567, 0.378)
C (0.635, 0.635, 0.016)
C (0.970, 0.970, 0.184)

Its relative energy among the computed polymorphs is 36 meV/atom. The density of states at the Fermi level is 8.0 states/eV/cell. As for the space group: No. 8. The total energy is -5.146 eV/atom.

---

[7]
DFT (PBE-GGA) results for Na2B3C after structural relaxation.

a b c (Å): 5.017 7.744 9.076
angles (deg): 75.90 73.99 71.10
Positions (direct):
Na (0.000, 0.000, 0.000)
Na (0.003, 0.498, 0.507)
Na (0.202, 0.101, 0.505)
Na (0.206, 0.601, 0.997)
Na (0.397, 0.700, 0.507)
Na (0.405, 0.202, 0.997)
Na (0.599, 0.801, 0.000)
Na (0.602, 0.298, 0.508)
Na (0.799, 0.898, 0.504)
Na (0.808, 0.401, 0.997)
B (0.037, 0.850, 0.752)
B (0.162, 0.740, 0.252)
B (0.219, 0.450, 0.752)
B (0.219, 0.945, 0.252)
B (0.372, 0.350, 0.252)
B (0.437, 0.050, 0.752)
B (0.442, 0.555, 0.253)
B (0.553, 0.959, 0.252)
B (0.570, 0.450, 0.752)
B (0.633, 0.662, 0.752)
B (0.647, 0.145, 0.252)
B (0.796, 0.531, 0.252)
B (0.813, 0.755, 0.252)
B (0.846, 0.238, 0.752)
B (0.977, 0.169, 0.252)
C (0.051, 0.350, 0.252)
C (0.171, 0.247, 0.752)
C (0.372, 0.856, 0.752)
C (0.778, 0.044, 0.751)
C (0.967, 0.653, 0.753)

Its relative energy among the computed polymorphs is 46 meV/atom. The density of states at the Fermi level is 4.2 states/eV/cell. As for the space group: No. 1. The total energy is -5.137 eV/atom.

---

[8]
DFT (PBE-GGA) results for Na2B3C after structural relaxation.

a b c (Å): 11.671 11.671 10.052
angles (deg): 106.59 106.59 13.98
Positions (direct):
Na (0.000, 0.000, 0.000)
Na (0.099, 0.099, 0.699)
Na (0.197, 0.197, 0.399)
Na (0.299, 0.299, 0.095)
Na (0.400, 0.400, 0.801)
Na (0.500, 0.500, 0.496)
Na (0.597, 0.597, 0.200)
Na (0.699, 0.699, 0.896)
Na (0.798, 0.798, 0.600)
Na (0.899, 0.899, 0.296)
B (0.010, 0.010, 0.269)
B (0.079, 0.079, 0.408)
B (0.181, 0.181, 0.114)
B (0.212, 0.212, 0.677)
B (0.282, 0.282, 0.815)
B (0.313, 0.313, 0.376)
B (0.376, 0.376, 0.503)
B (0.416, 0.416, 0.081)
B (0.523, 0.523, 0.798)
B (0.590, 0.590, 0.931)
B (0.619, 0.619, 0.488)
B (0.771, 0.771, 0.293)
B (0.822, 0.822, 0.895)
B (0.919, 0.919, 0.588)
B (0.983, 0.983, 0.717)
C (0.119, 0.119, 0.990)
C (0.479, 0.479, 0.207)
C (0.681, 0.681, 0.614)
C (0.712, 0.712, 0.175)
C (0.884, 0.884, 0.019)

Its relative energy among the computed polymorphs is 16 meV/atom. The density of states at the Fermi level is 8.1 states/eV/cell. As for the space group: No. 8. The total energy is -5.166 eV/atom.

---

Question: The lowest relative energy among the computed polymorphs belongs to which entry?
Answer: number 3